Density functional theory data (PBE) for crystalline Ca2LaTlP at its relaxed geometry.

Unit cell a=5.416 b=5.416 c=5.731 alpha=90.00 beta=90.00 gamma=90.00
Each line ends with the local moment (μB).
Element x y z (fractional)
Tl1 0.500 0.500 0.500  0.04
Ca1 0.000 0.500 0.000  0.01
Ca2 0.500 0.000 0.000  0.01
P1 0.000 0.000 0.000  0.00
La1 0.000 0.000 0.500  0.05

Output
The calculation puts the energy of formation at -0.64 eV per atom. Its space group is No. 123.